[1]
Here is a PBEsol-optimized structure of BeAg2 from Alexandria. Energies are from SCAN.

Computed properties:
- Energy: -22.190 eV/atom
- Magnetic moment: 0.00 μB per atom
- Energy of formation from the pure elements: 0.1724 eV per atom

Unit cell a=2.842 b=4.115 c=7.234 alpha=90.00 beta=90.00 gamma=90.00
Sites, in units of the cell vectors:
Ag (0.237, 0.000, 0.665)
Ag (0.763, 0.000, 0.335)
Ag (0.737, 0.500, 0.835)
Ag (0.263, 0.500, 0.165)
Be (0.000, 0.000, 0.000)
Be (0.500, 0.500, 0.500)

=====

[2]
Here is a PBEsol-optimized structure of Be3Ag2 from Alexandria. Energies are from SCAN.

Computed properties:
- Energy: -15.061 eV/atom
- Magnetic moment: 0.00 μB per atom
- Energy of formation from the pure elements: 0.0984 eV per atom

Unit cell a=4.735 b=4.735 c=6.360 alpha=100.68 beta=100.68 gamma=120.12
Sites, in units of the cell vectors:
Ag (0.513, 0.139, 0.893)
Ag (0.246, 0.620, 0.107)
Ag (0.870, 0.996, 0.607)
Ag (0.389, 0.263, 0.393)
Be (0.447, 0.579, 0.778)
Be (0.800, 0.669, 0.222)
Be (0.919, 0.550, 0.722)
Be (0.829, 0.197, 0.278)
Be (0.993, 0.993, 0.000)
Be (0.243, 0.743, 0.500)

=====

[3]
Here is a PBEsol-optimized structure of BeAg2 from Alexandria. Energies are from SCAN.

Computed properties:
- Energy: -22.341 eV/atom
- Magnetic moment: 0.00 μB per atom
- Energy of formation from the pure elements: 0.0214 eV per atom

Unit cell a=4.764 b=4.764 c=4.764 alpha=104.94 beta=104.94 gamma=118.96
Sites, in units of the cell vectors:
Be (0.750, 0.750, 0.000)
Be (0.250, 0.250, 0.000)
Ag (0.835, 0.335, 0.169)
Ag (0.165, 0.665, 0.831)
Ag (0.335, 0.165, 0.500)
Ag (0.665, 0.835, 0.500)

=====

Number 1 is which compound?
BeAg2

=====

Among the records above, which one has the lowest energy of formation from the pure elements?
number 3